VASP calculation (GGA-PBE) on a geometry-optimized PmTmO3 structure.

The calculation puts the magnetic moment at 0.0 μB per cell. Its raw formation energy is -333 kJ per mole of atoms. Its theoretical density is 8.32 g/cm3.

The space group is Cmc2_1 (No. 36) and the conventional cell measures 3.529, 14.156 and 5.784 Å, with angles of 90.00, 90.00 and 90.00 degrees. The asymmetric unit holds Pm at (0.000, 0.181, 0.000), Tm at (0.000, 0.457, 0.943), O at (0.000, 0.025, 0.156), O at (0.000, 0.318, 0.776) and O at (0.000, 0.379, 0.277).